(1)
First-principles (GGA-PBE) data for crystalline AcTbSm2 at its relaxed geometry, as listed in the Alexandria database.

Computed properties:
space group = R3m
E_form = 49 meV per atom
N(E_F) = 5.53 states/eV/cell

a = 12.1999 Å, b = 12.1999 Å, c = 12.1999 Å
α = 17.55°, β = 17.55°, γ = 17.55°
Closest atoms and distances in Å follow each position.
Positions (direct):
Ac: 0.0000 0.0000 0.0000  6 Ac 3.72, 6 Sm 3.80-3.81
Tb: 0.8336 0.8336 0.8336  6 Sm 3.58-3.59, 6 Tb 3.72
Sm: 0.2462 0.2462 0.2462  3 Tb 3.58, 6 Sm 3.72, 3 Ac 3.80
Sm: 0.4205 0.4205 0.4205  3 Tb 3.59, 6 Sm 3.72, 3 Ac 3.81

=====

(2)
First-principles (GGA-PBE) data for crystalline AcTbSm2 at its relaxed geometry, as listed in the Alexandria database.

Computed properties:
space group = P4/mmm
E_form = 40 meV per atom
N(E_F) = 6.65 states/eV/cell

a = 5.2144 Å, b = 5.2144 Å, c = 5.2583 Å
α = 90.00°, β = 90.00°, γ = 90.00°
Closest atoms and distances in Å follow each position.
Positions (direct):
Ac: 0.0000 0.0000 0.0000  4 Tb 3.69, 8 Sm 3.70
Tb: 0.5000 0.5000 0.0000  4 Ac 3.69, 8 Sm 3.70
Sm: 0.0000 0.5000 0.5000  4 Sm 3.69, 4 Ac 3.70, 4 Tb 3.70
Sm: 0.5000 0.0000 0.5000  4 Sm 3.69, 4 Ac 3.70, 4 Tb 3.70

=====

(3)
First-principles (GGA-PBE) data for crystalline Ac2Tb2Sm5 at its relaxed geometry, as listed in the Alexandria database.

Computed properties:
space group = P-1
E_form = 117 meV per atom
N(E_F) = 11.83 states/eV/cell

a = 3.7314 Å, b = 9.4404 Å, c = 9.6812 Å
α = 80.75°, β = 79.11°, γ = 89.99°
Closest atoms and distances in Å follow each position.
Positions (direct):
Ac: 0.0874 0.3578 0.3350  7 Sm 3.66-4.10, 2 Ac 3.73, 2 Tb 3.96-3.97
Ac: 0.9126 0.6422 0.6650  7 Sm 3.66-4.10, 2 Ac 3.73, 2 Tb 3.96-3.97
Tb: 0.3087 0.9076 0.8818  6 Sm 3.47-3.81, 4 Tb 3.58-3.73
Tb: 0.6913 0.0924 0.1182  6 Sm 3.47-3.81, 4 Tb 3.58-3.73
Sm: 0.1090 0.7975 0.2860  6 Sm 3.44-3.73, 3 Tb 3.51-3.81, 1 Ac 3.66
Sm: 0.2790 0.3749 0.9391  6 Sm 3.36-3.73, 2 Tb 3.47, 1 Ac 3.74
Sm: 0.5000 0.0000 0.5000  6 Sm 3.53-3.73, 2 Tb 3.59, 2 Ac 3.94
Sm: 0.7210 0.6251 0.0609  6 Sm 3.36-3.73, 2 Tb 3.47, 1 Ac 3.74
Sm: 0.8910 0.2025 0.7140  6 Sm 3.44-3.73, 3 Tb 3.51-3.81, 1 Ac 3.66

=====

(4)
First-principles (GGA-PBE) data for crystalline AcTb10Sm4 at its relaxed geometry, as listed in the Alexandria database.

Computed properties:
space group = I4/m
E_form = 516 meV per atom
N(E_F) = 27.61 states/eV/cell

a = 9.6462 Å, b = 9.6462 Å, c = 9.6462 Å
α = 97.00°, β = 97.00°, γ = 139.12°
Closest atoms and distances in Å follow each position.
Positions (direct):
Ac: 0.0000 0.0000 0.0000  8 Sm 4.17, 8 Tb 4.44
Tb: 0.0436 0.8801 0.4239  4 Tb 3.12-3.37, 3 Sm 3.36-3.45
Tb: 0.1199 0.5437 0.1635  4 Tb 3.12-3.37, 3 Sm 3.36-3.45
Tb: 0.2500 0.7500 0.5000  6 Tb 3.12-3.37
Tb: 0.3803 0.9564 0.8365  4 Tb 3.12-3.37, 3 Sm 3.36-3.45
Tb: 0.4563 0.6197 0.5761  4 Tb 3.12-3.37, 3 Sm 3.36-3.45
Tb: 0.5437 0.3803 0.4239  4 Tb 3.12-3.37, 3 Sm 3.36-3.45
Tb: 0.6197 0.0436 0.1635  4 Tb 3.12-3.37, 3 Sm 3.36-3.45
Tb: 0.7500 0.2500 0.5000  6 Tb 3.12-3.37
Tb: 0.8801 0.4563 0.8365  4 Tb 3.12-3.37, 3 Sm 3.36-3.45
Tb: 0.9564 0.1199 0.5761  4 Tb 3.12-3.37, 3 Sm 3.36-3.45
Sm: 0.3201 0.5670 0.8872  6 Tb 3.36-3.45, 2 Sm 3.47
Sm: 0.4330 0.3201 0.7531  6 Tb 3.36-3.45, 2 Sm 3.47
Sm: 0.5670 0.6799 0.2469  6 Tb 3.36-3.45, 2 Sm 3.47
Sm: 0.6799 0.4330 0.1128  6 Tb 3.36-3.45, 2 Sm 3.47

=====

(5)
First-principles (GGA-PBE) data for crystalline Ac6Tb2Sm3 at its relaxed geometry, as listed in the Alexandria database.

Computed properties:
space group = P-1
E_form = 51 meV per atom
N(E_F) = 17.88 states/eV/cell

a = 6.5995 Å, b = 8.5287 Å, c = 8.5450 Å
α = 107.16°, β = 97.43°, γ = 104.96°
Closest atoms and distances in Å follow each position.
Positions (direct):
Ac: 0.0542 0.1813 0.4044  5 Sm 3.75-3.88, 2 Tb 3.76-3.82, 5 Ac 3.78-3.91
Ac: 0.1368 0.5489 0.2329  6 Ac 3.78-3.90, 4 Sm 3.79-3.87, 2 Tb 3.84-3.90
Ac: 0.3218 0.2657 0.8696  3 Tb 3.70-3.83, 3 Sm 3.75-3.94, 6 Ac 3.81-3.91
Ac: 0.6782 0.7343 0.1304  3 Tb 3.70-3.83, 3 Sm 3.75-3.94, 6 Ac 3.81-3.91
Ac: 0.8632 0.4511 0.7671  6 Ac 3.78-3.90, 4 Sm 3.79-3.87, 2 Tb 3.84-3.90
Ac: 0.9458 0.8187 0.5956  5 Sm 3.75-3.88, 2 Tb 3.76-3.82, 5 Ac 3.78-3.91
Tb: 0.2326 0.9136 0.0475  7 Ac 3.70-3.90, 3 Sm 3.74-3.81, 2 Tb 3.75-3.83
Tb: 0.7674 0.0864 0.9525  7 Ac 3.70-3.90, 3 Sm 3.74-3.81, 2 Tb 3.75-3.83
Sm: 0.4071 0.6444 0.6854  2 Tb 3.74-3.78, 8 Ac 3.75-3.94, 2 Sm 3.77-3.95
Sm: 0.5000 0.0000 0.5000  8 Ac 3.77-3.88, 2 Sm 3.77, 2 Tb 3.81
Sm: 0.5929 0.3556 0.3146  2 Tb 3.74-3.78, 8 Ac 3.75-3.94, 2 Sm 3.77-3.95

=====

(6)
First-principles (GGA-PBE) data for crystalline Ac2Tb7Sm3 at its relaxed geometry, as listed in the Alexandria database.

Computed properties:
space group = P2/m
E_form = 107 meV per atom
N(E_F) = 18.49 states/eV/cell

a = 6.4497 Å, b = 3.6185 Å, c = 17.9365 Å
α = 90.00°, β = 96.51°, γ = 90.00°
Closest atoms and distances in Å follow each position.
Positions (direct):
Ac: 0.0563 0.0000 0.1745  5 Tb 3.53-3.64, 2 Ac 3.62, 4 Sm 3.68-3.74
Ac: 0.9437 0.0000 0.8255  5 Tb 3.53-3.64, 2 Ac 3.62, 4 Sm 3.68-3.74
Tb: 0.0000 0.5000 0.5000  8 Tb 3.54-3.62, 4 Sm 3.70
Tb: 0.2281 0.0000 0.6623  3 Sm 3.57-3.82, 8 Tb 3.60-3.73, 1 Ac 3.63
Tb: 0.2592 0.0000 0.0000  2 Tb 3.11-3.34
Tb: 0.2787 0.5000 0.3407  3 Sm 3.54-3.85, 7 Tb 3.54-3.73, 2 Ac 3.64
Tb: 0.7213 0.5000 0.6593  3 Sm 3.54-3.85, 7 Tb 3.54-3.73, 2 Ac 3.64
Tb: 0.7408 0.0000 0.0000  2 Tb 3.11-3.34
Tb: 0.7719 0.0000 0.3377  3 Sm 3.57-3.82, 8 Tb 3.60-3.73, 1 Ac 3.63
Sm: 0.4535 0.5000 0.8407  2 Sm 3.62, 4 Ac 3.68-3.74, 7 Tb 3.70-3.85
Sm: 0.5000 0.0000 0.5000  10 Tb 3.54-3.70, 2 Sm 3.62
Sm: 0.5465 0.5000 0.1593  2 Sm 3.62, 4 Ac 3.68-3.74, 7 Tb 3.70-3.85

=====

| no. | VASP energy (Ry per atom) |
| --- | --- |
| 1 | -0.330 |
| 2 | -0.331 |
| 3 | -0.327 |
| 4 | -0.302 |
| 5 | -0.317 |
| 6 | -0.328 |